No. 1
# CuSiRh2

A relaxed structure of CuSiRh2 (PBE-GGA, the Alexandria database).

Cell and atoms, written as extended XYZ:
```
4
Lattice="1.3966 -2.3416 0.0000 1.3966 2.3416 0.0000 0.0000 0.0000 8.4388" Properties=species:S:1:pos:R:3 pbc="T T T"
Cu 0.0000 0.0000 0.0000
Si 1.3966 0.0000 6.4643
Rh 0.0000 0.0000 4.5633
Rh 1.3966 0.0000 2.1965
```

Summary:
Total energy = -6.016 eV/atom
Uncorrected formation energy = 0.04 eV/atom

---

No. 2
# TaSi2Se

A relaxed structure of TaSi2Se (PBE-GGA, the Alexandria database).

Cell and atoms, written as extended XYZ:
```
4
Lattice="2.9023 -3.8898 0.0000 2.9023 3.8898 0.0000 0.0000 0.0000 2.8677" Properties=species:S:1:pos:R:3 pbc="T T T"
Ta 0.0000 0.0000 0.0000
Si 1.4512 1.9449 1.4339
Si 1.4512 -1.9449 1.4339
Se 2.9023 0.0000 0.0000
```

Summary:
Total energy = -6.316 eV/atom
Uncorrected formation energy = 0.23 eV/atom

---

No. 3
# Tb2CdSi2Pd5

A relaxed structure of Tb2CdSi2Pd5 (PBE-GGA, the Alexandria database).

Cell and atoms, written as extended XYZ:
```
20
Lattice="10.1746 0.0000 0.0000 0.0000 10.1746 0.0000 0.0000 0.0000 3.5132" Properties=species:S:1:pos:R:3 pbc="T T T"
Tb 1.7942 3.2931 0.0000
Tb 3.2931 8.3803 0.0000
Tb 6.8815 1.7942 0.0000
Tb 8.3803 6.8815 0.0000
Cd 0.0000 0.0000 0.0000
Cd 5.0873 5.0873 0.0000
Si 1.2522 6.3395 0.0000
Si 3.8351 1.2522 0.0000
Si 6.3395 8.9224 0.0000
Si 8.9224 3.8351 0.0000
Pd 0.0000 5.0873 1.7566
Pd 0.6110 7.9545 1.7566
Pd 2.2201 0.6110 1.7566
Pd 2.8672 5.6983 1.7566
Pd 4.4763 2.8672 1.7566
Pd 5.0873 0.0000 1.7566
Pd 5.6983 7.3074 1.7566
Pd 7.3074 4.4763 1.7566
Pd 7.9545 9.5635 1.7566
Pd 9.5635 2.2201 1.7566
```

Summary:
Total energy = -5.411 eV/atom
Uncorrected formation energy = -0.71 eV/atom

---

No. 4
# AlFeW2

A relaxed structure of AlFeW2 (PBE-GGA, the Alexandria database).

Cell and atoms, written as extended XYZ:
```
4
Lattice="-1.9185 1.9185 3.9820 1.9185 -1.9185 3.9820 1.9185 1.9185 -3.9820" Properties=species:S:1:pos:R:3 pbc="T T T"
Al 0.0000 0.0000 0.0000
Fe 1.9185 0.0000 1.9910
W 0.0000 0.0000 3.9820
W 0.0000 1.9185 1.9910
```

Summary:
Formation energy = 0.14 eV per atom
Total energy = -9.390 eV/atom

---

No. 5
# Ba2CdFe

A relaxed structure of Ba2CdFe (PBE-GGA, the Alexandria database).

Cell and atoms, written as extended XYZ:
```
4
Lattice="5.9003 0.0000 0.0000 0.0000 5.9003 0.0000 0.0000 0.0000 4.0077" Properties=species:S:1:pos:R:3 pbc="T T T"
Ba 0.0000 2.9501 0.0000
Ba 2.9501 0.0000 0.0000
Cd 0.0000 0.0000 2.0039
Fe 2.9501 2.9501 2.0039
```

Summary:
Formation energy = 0.33 eV per atom
Total energy = -2.974 eV/atom

---

No. 6
# Al2ZnP

A relaxed structure of Al2ZnP (PBE-GGA, the Alexandria database).

Cell and atoms, written as extended XYZ:
```
8
Lattice="-3.0415 3.0415 4.8560 3.0415 -3.0415 4.8560 3.0415 3.0415 -4.8560" Properties=species:S:1:pos:R:3 pbc="T T T"
Al 4.5622 1.3733 -1.2140
Al 1.3733 1.5207 1.2140
Al -1.5207 1.6682 3.6420
Al 1.6682 1.5207 6.0700
Zn 3.0415 0.0000 2.4280
Zn 0.0000 0.0000 4.8560
P 0.0000 0.0000 0.0000
P 0.0000 3.0415 2.4280
```

Summary:
Formation energy = 0.10 eV per atom
Energy above the most stable polymorph in this dataset = 0.085 eV per atom
Total energy = -3.439 eV/atom

---

No. 7
# K3CdP

A relaxed structure of K3CdP (PBE-GGA, the Alexandria database).

Cell and atoms, written as extended XYZ:
```
20
Lattice="9.8948 0.0000 0.0000 0.0000 5.8159 0.0000 0.0000 0.0000 13.8697" Properties=species:S:1:pos:R:3 pbc="T T T"
K 0.2963 1.4540 2.4968
K 1.0907 4.3619 7.1835
K 2.1106 1.4540 11.0191
K 2.8368 4.3619 4.0843
K 3.8567 1.4540 0.2487
K 4.6511 4.3619 9.4316
K 5.2437 1.4540 4.4381
K 6.0381 4.3619 13.6210
K 7.0580 1.4540 9.7854
K 7.7842 4.3619 2.8506
K 8.8041 1.4540 6.6861
K 9.5985 4.3619 11.3729
Cd 1.6518 4.3619 0.5410
Cd 3.2956 1.4540 7.4759
Cd 6.5992 4.3619 6.3938
Cd 8.2430 1.4540 13.3286
P 1.9010 1.4540 5.3531
P 3.0464 4.3619 12.2880
P 6.8484 1.4540 1.5817
P 7.9938 4.3619 8.5165
```

Summary:
Formation energy = -0.20 eV per atom
Energy above the most stable polymorph in this dataset = 0.000 eV per atom
Total energy = -2.119 eV/atom

---

No. 8
# CaNdErMg

A relaxed structure of CaNdErMg (PBE-GGA, the Alexandria database).

Cell and atoms, written as extended XYZ:
```
4
Lattice="3.6372 0.0000 0.0000 0.0000 3.6372 0.0000 0.0000 0.0000 9.7325" Properties=species:S:1:pos:R:3 pbc="T T T"
Ca 0.0000 0.0000 0.0000
Nd 1.8186 1.8186 6.8327
Er 0.0000 0.0000 4.4118
Mg 1.8186 1.8186 2.3180
```

Summary:
Formation energy = -0.01 eV per atom
Energy above the most stable polymorph in this dataset = 0.000 eV per atom
Total energy = -3.245 eV/atom

---

No. 9
# HfNi4Ge2

A relaxed structure of HfNi4Ge2 (PBE-GGA, the Alexandria database).

Cell and atoms, written as extended XYZ:
```
14
Lattice="7.0356 0.0000 0.0000 0.0000 7.0356 0.0000 0.0000 0.0000 3.7950" Properties=species:S:1:pos:R:3 pbc="T T T"
Hf 0.0000 0.0000 0.0000
Hf 3.5178 3.5178 1.8975
Ni 0.6582 2.4522 1.8975
Ni 1.0656 4.1760 0.0000
Ni 2.4522 0.6582 1.8975
Ni 2.8596 5.9700 0.0000
Ni 4.1760 1.0656 0.0000
Ni 4.5834 6.3774 1.8975
Ni 5.9700 2.8596 0.0000
Ni 6.3774 4.5834 1.8975
Ge 1.5167 5.5189 1.8975
Ge 2.0011 2.0011 0.0000
Ge 5.0345 5.0345 0.0000
Ge 5.5189 1.5167 1.8975
```

Summary:
Formation energy = -0.45 eV per atom
Energy above the most stable polymorph in this dataset = 0.000 eV per atom
Total energy = -6.492 eV/atom

---

No. 10
# KLi2GeP

A relaxed structure of KLi2GeP (PBE-GGA, the Alexandria database).

Cell and atoms, written as extended XYZ:
```
5
Lattice="4.8538 0.0000 0.0000 0.0000 4.8538 0.0000 0.0000 0.0000 5.4450" Properties=species:S:1:pos:R:3 pbc="T T T"
K 0.0000 0.0000 0.0000
Li 0.0000 2.4269 0.0000
Li 2.4269 0.0000 0.0000
Ge 2.4269 2.4269 2.7225
P 0.0000 0.0000 2.7225
```

Summary:
Formation energy = 0.90 eV per atom
Total energy = -2.090 eV/atom

---

No. 11
# Ta2MnCdBi

A relaxed structure of Ta2MnCdBi (PBE-GGA, the Alexandria database).

Cell and atoms, written as extended XYZ:
```
5
Lattice="5.2204 0.0000 0.0000 0.0000 5.2204 0.0000 0.0000 0.0000 5.3349" Properties=species:S:1:pos:R:3 pbc="T T T"
Ta 0.0000 2.6102 0.0000
Ta 2.6102 0.0000 0.0000
Mn 0.0000 0.0000 2.6674
Cd 2.6102 2.6102 2.6674
Bi 2.6102 2.6102 0.0000
```

Summary:
Formation energy = 2.14 eV per atom
Total energy = -5.394 eV/atom

---

No. 12
# In2SnAu2

A relaxed structure of In2SnAu2 (PBE-GGA, the Alexandria database).

Cell and atoms, written as extended XYZ:
```
5
Lattice="-1.9618 1.9618 7.8624 1.9618 -1.9618 7.8624 1.9618 1.9618 -7.8624" Properties=species:S:1:pos:R:3 pbc="T T T"
In 0.0000 0.0000 1.6995
In 0.0000 0.0000 14.0254
Sn 0.0000 0.0000 7.8624
Au 1.9618 0.0000 3.9312
Au 0.0000 1.9618 3.9312
```

Summary:
Formation energy = -0.01 eV per atom
Energy above the most stable polymorph in this dataset = 0.171 eV per atom
Total energy = -3.220 eV/atom

---

No. 13
# YZn5CuAu2

A relaxed structure of YZn5CuAu2 (PBE-GGA, the Alexandria database).

Cell and atoms, written as extended XYZ:
```
9
Lattice="4.8921 0.0000 0.0000 0.0000 4.8921 0.0000 0.0000 0.0000 7.4858" Properties=species:S:1:pos:R:3 pbc="T T T"
Y 0.0000 0.0000 0.0000
Zn 0.0000 2.4460 2.1598
Zn 0.0000 2.4460 5.3260
Zn 2.4460 0.0000 2.1598
Zn 2.4460 0.0000 5.3260
Zn 2.4460 2.4460 0.0000
Cu 0.0000 0.0000 3.7429
Au 2.4460 2.4460 2.4243
Au 2.4460 2.4460 5.0616
```

Summary:
Formation energy = 0.05 eV per atom
Total energy = -2.560 eV/atom

---

No. 14
# TaV2Tc

A relaxed structure of TaV2Tc (PBE-GGA, the Alexandria database).

Cell and atoms, written as extended XYZ:
```
8
Lattice="-2.1848 2.1848 6.2397 2.1848 -2.1848 6.2397 2.1848 2.1848 -6.2397" Properties=species:S:1:pos:R:3 pbc="T T T"
Ta 0.0000 0.0000 1.5734
Ta 0.0000 0.0000 10.9060
V 2.1848 0.0000 0.0000
V 0.0000 0.0000 4.6996
V 0.0000 2.1848 0.0000
V 0.0000 0.0000 7.7798
Tc 2.1848 0.0000 3.1199
Tc 0.0000 2.1848 3.1199
```

Summary:
Formation energy = -0.23 eV per atom
Energy above the most stable polymorph in this dataset = 0.000 eV per atom
Total energy = -10.343 eV/atom

---

No. 15
# Li2CrTcN4

A relaxed structure of Li2CrTcN4 (PBE-GGA, the Alexandria database).

Cell and atoms, written as extended XYZ:
```
16
Lattice="6.3519 0.0000 0.0000 0.0000 5.7351 0.0000 0.0000 0.0000 5.1086" Properties=species:S:1:pos:R:3 pbc="T T T"
Li 1.5852 0.8971 0.0000
Li 1.5907 4.8380 2.5543
Li 4.7666 0.8971 0.0000
Li 4.7611 4.8380 2.5543
Cr 0.0000 2.0007 2.5621
Cr 3.1759 3.7344 0.0077
Tc 0.0000 3.7226 0.0066
Tc 3.1759 2.0125 2.5609
N 0.0000 2.0161 4.3609
N 0.0000 3.6528 1.8927
N 1.5461 1.1484 2.1626
N 1.6298 4.5867 4.7169
N 3.1759 2.0823 4.4470
N 3.1759 3.7190 1.8066
N 4.7220 4.5867 4.7169
N 4.8057 1.1484 2.1626
```

Summary:
Total energy = -7.495 eV/atom
Uncorrected formation energy = -0.36 eV/atom

---

No. 16
# LiNp2Br6

A relaxed structure of LiNp2Br6 (PBE-GGA, the Alexandria database).

Cell and atoms, written as extended XYZ:
```
9
Lattice="7.9461 -2.0799 0.0000 7.9461 2.0799 0.0000 -2.9631 0.0000 9.5440" Properties=species:S:1:pos:R:3 pbc="T T T"
Li 0.0000 0.0000 0.0000
Np 3.3533 0.0000 6.4202
Np 9.5759 0.0000 3.1238
Br -0.3984 0.0000 2.8794
Br 3.7022 0.0000 3.4570
Br 3.1297 0.0000 9.2467
Br 9.7994 0.0000 0.2973
Br 9.2269 0.0000 6.0870
Br 13.3275 0.0000 6.6646
```

Summary:
Total energy = -5.471 eV/atom
Uncorrected formation energy = -1.27 eV/atom

---

No. 17
# La2MnAs3Rh4

A relaxed structure of La2MnAs3Rh4 (PBE-GGA, the Alexandria database).

Cell and atoms, written as extended XYZ:
```
10
Lattice="4.2186 0.0000 0.0000 0.0000 4.2186 0.0000 0.0000 0.0000 10.4968" Properties=species:S:1:pos:R:3 pbc="T T T"
La 0.0000 2.1093 2.5924
La 2.1093 0.0000 7.9044
Mn 2.1093 2.1093 0.0000
As 0.0000 0.0000 0.0000
As 0.0000 2.1093 6.6598
As 2.1093 0.0000 3.8370
Rh 0.0000 0.0000 5.2484
Rh 0.0000 2.1093 9.1018
Rh 2.1093 0.0000 1.3951
Rh 2.1093 2.1093 5.2484
```

Summary:
Formation energy = -0.86 eV per atom
Total energy = -7.102 eV/atom

---

No. 18
# Pa2InS6

A relaxed structure of Pa2InS6 (PBE-GGA, the Alexandria database).

Cell and atoms, written as extended XYZ:
```
9
Lattice="7.2922 0.0000 0.0000 -3.6461 6.3153 0.0000 0.0000 0.0000 3.8714" Properties=species:S:1:pos:R:3 pbc="T T T"
Pa 0.0000 4.2102 0.0000
Pa 3.6461 2.1051 0.0000
In 0.0000 0.0000 1.9357
S -1.5754 2.7286 1.9357
S -2.7199 4.7111 0.0000
S 0.9262 1.6042 0.0000
S 3.1507 0.0000 1.9357
S 2.0708 3.5867 1.9357
S 5.4399 0.0000 0.0000
```

Summary:
Energy above the most stable polymorph in this dataset = 0.092 eV per atom
Total energy = -6.345 eV/atom
Uncorrected formation energy = -1.18 eV/atom

---

No. 19
# LiRuBr

A relaxed structure of LiRuBr (PBE-GGA, the Alexandria database).

Cell and atoms, written as extended XYZ:
```
6
Lattice="3.2246 -1.8380 0.0000 3.2246 1.8380 0.0000 -0.5225 0.0000 10.1175" Properties=species:S:1:pos:R:3 pbc="T T T"
Li 0.0000 0.0000 0.0000
Li -0.0018 0.0000 3.2967
Ru -0.0395 0.0000 6.4057
Ru 2.1059 0.0000 5.3908
Br 2.1495 0.0000 1.6606
Br 3.8261 0.0000 8.5129
```

Summary:
Energy above the most stable polymorph in this dataset = 0.044 eV per atom
Total energy = -4.609 eV/atom
Uncorrected formation energy = -0.32 eV/atom

---

No. 20
# TaRe3Cl

A relaxed structure of TaRe3Cl (PBE-GGA, the Alexandria database).

Cell and atoms, written as extended XYZ:
```
5
Lattice="4.3525 0.0000 0.0000 0.0000 4.3525 0.0000 0.0000 0.0000 4.3525" Properties=species:S:1:pos:R:3 pbc="T T T"
Ta 0.0000 0.0000 0.0000
Re 0.0000 2.1762 2.1762
Re 2.1762 0.0000 2.1762
Re 2.1762 2.1762 0.0000
Cl 2.1762 2.1762 2.1762
```

Summary:
Energy above the most stable polymorph in this dataset = 0.000 eV per atom
Total energy = -8.776 eV/atom
Uncorrected formation energy = 1.43 eV/atom